[1]
First-principles (PBE) data for crystalline ZrTl2Se at its relaxed geometry, as listed in Alexandria.

Unit cell a=3.508 b=3.508 c=9.286 alpha=90.00 beta=90.00 gamma=117.00
Sites, in units of the cell vectors:
1 Se 0.500 0.500 0.750
2 Tl 0.000 0.000 0.988
3 Tl 0.000 0.000 0.512
4 Zr 0.500 0.500 0.250

Calculated values
Offset from the most stable computed form (eV/atom): 0.624
M_tot (Bohr magnetons per cell): 0.0

=====

[2]
First-principles (PBE) data for crystalline Tm5Se4 at its relaxed geometry, as listed in Alexandria.

Unit cell a=3.665 b=7.912 c=7.912 alpha=86.92 beta=76.61 gamma=76.61
Sites, in units of the cell vectors:
1 Tm 0.690 0.310 0.310
2 Tm 0.310 0.690 0.690
3 Tm 0.000 0.000 0.000
4 Tm 0.000 0.690 0.310
5 Tm 0.000 0.310 0.690
6 Se 0.654 0.000 0.692
7 Se 0.346 0.308 0.000
8 Se 0.346 0.000 0.308
9 Se 0.654 0.692 0.000

Calculated values
M_tot (Bohr magnetons per cell): 0.0

=====

[3]
First-principles (PBE) data for crystalline Tm3Se2 at its relaxed geometry, as listed in Alexandria.

Unit cell a=3.850 b=3.850 c=10.112 alpha=79.03 beta=79.03 gamma=60.00
Sites, in units of the cell vectors:
1 Tm 0.000 0.000 0.000
2 Tm 0.788 0.788 0.636
3 Tm 0.212 0.212 0.364
4 Se 0.392 0.392 0.825
5 Se 0.608 0.608 0.175

Calculated values
Offset from the most stable computed form (eV/atom): 0.000
M_tot (Bohr magnetons per cell): 0.4

=====

[4]
First-principles (PBE) data for crystalline Tm2Se at its relaxed geometry, as listed in Alexandria.

Unit cell a=3.777 b=6.581 c=9.788 alpha=85.33 beta=90.00 gamma=106.68
Sites, in units of the cell vectors:
1 Tm 0.928 0.856 0.281
2 Tm 0.072 0.144 0.719
3 Tm 0.362 0.723 0.571
4 Tm 0.643 0.287 0.069
5 Tm 0.357 0.713 0.931
6 Tm 0.638 0.277 0.429
7 Se 0.000 0.000 0.000
8 Se 0.263 0.526 0.214
9 Se 0.737 0.474 0.786

Calculated values
M_tot (Bohr magnetons per cell): 0.0

=====

[5]
First-principles (PBE) data for crystalline TmSe2 at its relaxed geometry, as listed in Alexandria.

Unit cell a=4.036 b=4.036 c=8.247 alpha=90.00 beta=90.00 gamma=90.00
Sites, in units of the cell vectors:
1 Tm 0.750 0.750 0.727
2 Tm 0.250 0.250 0.273
3 Se 0.750 0.750 0.371
4 Se 0.250 0.250 0.629
5 Se 0.750 0.250 0.000
6 Se 0.250 0.750 0.000

Calculated values
M_tot (Bohr magnetons per cell): 0.0

=====

[6]
First-principles (PBE) data for crystalline Tm5Se6 at its relaxed geometry, as listed in Alexandria.

Unit cell a=6.943 b=6.918 c=6.918 alpha=80.35 beta=70.48 gamma=59.88
Sites, in units of the cell vectors:
1 Tm 0.500 0.000 0.500
2 Tm 0.335 0.330 0.000
3 Tm 0.665 0.670 0.000
4 Tm 0.166 0.668 0.500
5 Tm 0.834 0.332 0.500
6 Se 0.755 0.000 0.755
7 Se 0.245 0.000 0.245
8 Se 0.411 0.671 0.753
9 Se 0.918 0.671 0.247
10 Se 0.589 0.329 0.247
11 Se 0.082 0.329 0.753

Calculated values
M_tot (Bohr magnetons per cell): 0.0

=====

[7]
First-principles (PBE) data for crystalline Tm4Se5 at its relaxed geometry, as listed in Alexandria.

Unit cell a=3.603 b=8.340 c=8.340 alpha=87.33 beta=77.53 gamma=77.53
Sites, in units of the cell vectors:
1 Tm 0.650 0.000 0.699
2 Tm 0.350 0.301 0.000
3 Tm 0.350 0.000 0.301
4 Tm 0.650 0.699 0.000
5 Se 0.715 0.285 0.285
6 Se 0.285 0.715 0.715
7 Se 0.000 0.000 0.000
8 Se 0.000 0.715 0.285
9 Se 0.000 0.285 0.715

Calculated values
M_tot (Bohr magnetons per cell): 0.0

=====

[8]
First-principles (PBE) data for crystalline Tm8Se3 at its relaxed geometry, as listed in Alexandria.

Unit cell a=6.809 b=6.809 c=12.718 alpha=68.82 beta=68.82 gamma=31.70
Sites, in units of the cell vectors:
1 Tm 0.158 0.158 0.477
2 Tm 0.371 0.371 0.947
3 Tm 0.629 0.629 0.053
4 Tm 0.842 0.842 0.523
5 Tm 0.537 0.537 0.336
6 Tm 0.139 0.139 0.762
7 Tm 0.861 0.861 0.238
8 Tm 0.463 0.463 0.664
9 Se 0.212 0.213 0.180
10 Se 0.788 0.787 0.820
11 Se 0.000 0.000 0.000

Calculated values
M_tot (Bohr magnetons per cell): 0.0

=====

[9]
First-principles (PBE) data for crystalline Tm5Se8 at its relaxed geometry, as listed in Alexandria.

Unit cell a=8.096 b=8.096 c=7.797 alpha=104.16 beta=106.26 gamma=119.65
Sites, in units of the cell vectors:
1 Tm 0.000 0.000 0.000
2 Tm 0.760 0.260 0.500
3 Tm 0.240 0.740 0.500
4 Tm 0.730 0.723 0.453
5 Tm 0.270 0.277 0.547
6 Se 0.297 0.983 0.280
7 Se 0.703 0.017 0.720
8 Se 0.796 0.454 0.250
9 Se 0.204 0.546 0.750
10 Se 0.813 0.981 0.258
11 Se 0.723 0.555 0.742
12 Se 0.277 0.445 0.258
13 Se 0.187 0.019 0.742

Calculated values
M_tot (Bohr magnetons per cell): 0.0

=====

[10]
First-principles (PBE) data for crystalline Tm3Se2 at its relaxed geometry, as listed in Alexandria.

Unit cell a=6.805 b=6.805 c=7.605 alpha=63.42 beta=63.42 gamma=60.00
Sites, in units of the cell vectors:
1 Tm 0.083 0.750 0.750
2 Tm 0.750 0.417 0.750
3 Tm 0.417 0.083 0.750
4 Tm 0.250 0.583 0.250
5 Tm 0.583 0.917 0.250
6 Tm 0.917 0.250 0.250
7 Se 0.836 0.836 0.491
8 Se 0.336 0.336 0.991
9 Se 0.164 0.164 0.509
10 Se 0.664 0.664 0.009

Calculated values
Offset from the most stable computed form (eV/atom): 0.142
M_tot (Bohr magnetons per cell): 0.0

=====

[11]
First-principles (PBE) data for crystalline Tm2Se at its relaxed geometry, as listed in Alexandria.

Unit cell a=3.794 b=3.794 c=6.424 alpha=90.01 beta=90.00 gamma=120.00
Sites, in units of the cell vectors:
1 Tm 0.667 0.333 0.217
2 Tm 0.333 0.667 0.783
3 Se 0.000 0.000 0.500

Calculated values
M_tot (Bohr magnetons per cell): 0.1

=====

[12]
First-principles (PBE) data for crystalline Tm3Se4 at its relaxed geometry, as listed in Alexandria.

Unit cell a=4.051 b=4.051 c=13.765 alpha=81.54 beta=81.54 gamma=60.00
Sites, in units of the cell vectors:
1 Tm 0.753 0.753 0.742
2 Tm 0.247 0.247 0.258
3 Tm 0.000 0.000 0.000
4 Se 0.374 0.374 0.878
5 Se 0.120 0.120 0.639
6 Se 0.880 0.880 0.361
7 Se 0.626 0.626 0.122

Calculated values
Offset from the most stable computed form (eV/atom): 0.048
M_tot (Bohr magnetons per cell): 0.0

=====

[13]
First-principles (PBE) data for crystalline Tm3Se4 at its relaxed geometry, as listed in Alexandria.

Unit cell a=5.667 b=5.667 c=6.892 alpha=114.28 beta=114.28 gamma=90.00
Sites, in units of the cell vectors:
1 Tm 0.750 0.250 0.500
2 Tm 0.250 0.750 0.500
3 Tm 0.000 0.000 0.000
4 Se 0.253 0.253 0.507
5 Se 0.000 0.500 0.000
6 Se 0.500 0.000 0.000
7 Se 0.747 0.747 0.493

Calculated values
Offset from the most stable computed form (eV/atom): 0.000
M_tot (Bohr magnetons per cell): 0.0

=====

[14]
First-principles (PBE) data for crystalline TmSe2 at its relaxed geometry, as listed in Alexandria.

Unit cell a=5.400 b=7.144 c=7.612 alpha=90.00 beta=90.00 gamma=90.00
Sites, in units of the cell vectors:
1 Tm 0.250 0.755 0.945
2 Tm 0.750 0.755 0.555
3 Tm 0.250 0.245 0.445
4 Tm 0.750 0.245 0.055
5 Se 0.250 0.890 0.600
6 Se 0.750 0.890 0.900
7 Se 0.000 0.568 0.250
8 Se 0.500 0.568 0.250
9 Se 0.500 0.432 0.750
10 Se 0.000 0.432 0.750
11 Se 0.250 0.110 0.100
12 Se 0.750 0.110 0.400

Calculated values
M_tot (Bohr magnetons per cell): 0.0

=====

[15]
First-principles (PBE) data for crystalline TmU2Se6 at its relaxed geometry, as listed in Alexandria.

Unit cell a=5.415 b=7.499 c=7.847 alpha=72.82 beta=69.82 gamma=68.83
Sites, in units of the cell vectors:
1 Tm 0.000 0.500 0.500
2 U 0.184 0.741 0.891
3 U 0.816 0.259 0.109
4 Se 0.744 0.643 0.870
5 Se 0.256 0.357 0.130
6 Se 0.957 0.856 0.231
7 Se 0.375 0.711 0.539
8 Se 0.043 0.144 0.769
9 Se 0.625 0.289 0.461

Calculated values
Offset from the most stable computed form (eV/atom): 0.161
M_tot (Bohr magnetons per cell): 3.0

=====

[16]
First-principles (PBE) data for crystalline Tm2U2Se7 at its relaxed geometry, as listed in Alexandria.

Unit cell a=4.805 b=4.805 c=13.521 alpha=90.00 beta=90.00 gamma=90.00
Sites, in units of the cell vectors:
1 Tm 0.500 0.000 0.862
2 Tm 0.000 0.500 0.138
3 U 0.500 0.000 0.374
4 U 0.000 0.500 0.626
5 Se 0.500 0.500 0.000
6 Se 0.000 0.000 0.233
7 Se 0.500 0.500 0.256
8 Se 0.000 0.000 0.500
9 Se 0.500 0.500 0.500
10 Se 0.000 0.000 0.767
11 Se 0.500 0.500 0.744

Calculated values
M_tot (Bohr magnetons per cell): 4.0

=====

[17]
First-principles (PBE) data for crystalline Tm3U2Se6 at its relaxed geometry, as listed in Alexandria.

Unit cell a=4.036 b=4.036 c=20.163 alpha=84.26 beta=84.26 gamma=60.00
Sites, in units of the cell vectors:
1 Tm 0.000 0.000 0.000
2 Tm 0.278 0.278 0.165
3 Tm 0.722 0.722 0.835
4 U 0.444 0.444 0.669
5 U 0.556 0.556 0.331
6 Se 0.081 0.081 0.757
7 Se 0.919 0.919 0.243
8 Se 0.197 0.197 0.410
9 Se 0.803 0.803 0.590
10 Se 0.360 0.360 0.919
11 Se 0.640 0.640 0.081

Calculated values
M_tot (Bohr magnetons per cell): 5.3

=====

[18]
First-principles (PBE) data for crystalline Tm2USe6 at its relaxed geometry, as listed in Alexandria.

Unit cell a=6.605 b=6.605 c=12.316 alpha=90.00 beta=90.00 gamma=90.00
Sites, in units of the cell vectors:
1 Tm 0.000 0.000 0.336
2 Tm 0.500 0.500 0.836
3 Tm 0.500 0.500 0.164
4 Tm 0.000 0.000 0.664
5 U 0.000 0.000 0.000
6 U 0.500 0.500 0.500
7 Se 0.305 0.305 0.339
8 Se 0.695 0.695 0.339
9 Se 0.195 0.805 0.839
10 Se 0.805 0.195 0.839
11 Se 0.195 0.805 0.161
12 Se 0.805 0.195 0.161
13 Se 0.305 0.305 0.661
14 Se 0.695 0.695 0.661
15 Se 0.293 0.293 0.000
16 Se 0.707 0.707 0.000
17 Se 0.207 0.793 0.500
18 Se 0.793 0.207 0.500

Calculated values
M_tot (Bohr magnetons per cell): 0.3

=====

[19]
First-principles (PBE) data for crystalline TmU2Se6 at its relaxed geometry, as listed in Alexandria.

Unit cell a=4.131 b=8.396 c=9.263 alpha=104.36 beta=102.88 gamma=90.00
Sites, in units of the cell vectors:
1 Tm 0.500 0.000 0.000
2 U 0.835 0.677 0.671
3 U 0.165 0.323 0.329
4 Se 0.337 0.902 0.674
5 Se 0.009 0.237 0.018
6 Se 0.673 0.558 0.347
7 Se 0.991 0.763 0.982
8 Se 0.663 0.098 0.326
9 Se 0.327 0.442 0.653

Calculated values
Offset from the most stable computed form (eV/atom): 0.000
M_tot (Bohr magnetons per cell): 3.0

=====

[20]
First-principles (PBE) data for crystalline Tm2USe at its relaxed geometry, as listed in Alexandria.

Unit cell a=3.503 b=3.503 c=10.541 alpha=80.44 beta=80.44 gamma=60.00
Sites, in units of the cell vectors:
1 Tm 0.105 0.105 0.685
2 Tm 0.895 0.895 0.315
3 U 0.000 0.000 0.000
4 Se 0.500 0.500 0.500

Calculated values
M_tot (Bohr magnetons per cell): 3.2

=====

[21]
First-principles (PBE) data for crystalline Tm3USe6 at its relaxed geometry, as listed in Alexandria.

Unit cell a=4.048 b=11.505 c=11.745 alpha=109.04 beta=90.00 gamma=90.00
Sites, in units of the cell vectors:
1 Tm 0.750 0.434 0.835
2 Tm 0.250 0.566 0.165
3 Tm 0.750 0.680 0.500
4 Tm 0.250 0.320 0.500
5 Tm 0.750 0.158 0.083
6 Tm 0.250 0.842 0.917
7 U 0.750 0.047 0.695
8 U 0.250 0.953 0.305
9 Se 0.750 0.481 0.616
10 Se 0.250 0.519 0.384
11 Se 0.750 0.917 0.097
12 Se 0.250 0.083 0.903
13 Se 0.750 0.394 0.062
14 Se 0.250 0.606 0.938
15 Se 0.750 0.742 0.275
16 Se 0.250 0.258 0.725
17 Se 0.750 0.115 0.465
18 Se 0.250 0.885 0.535
19 Se 0.750 0.804 0.749
20 Se 0.250 0.196 0.251

Calculated values
M_tot (Bohr magnetons per cell): 5.8

=====

[22]
First-principles (PBE) data for crystalline Tm2VSe at its relaxed geometry, as listed in Alexandria.

Unit cell a=3.557 b=3.557 c=9.594 alpha=79.32 beta=79.32 gamma=60.00
Sites, in units of the cell vectors:
1 Tm 0.100 0.100 0.701
2 Tm 0.900 0.900 0.299
3 Se 0.500 0.500 0.500
4 V 0.000 0.000 0.000

Calculated values
M_tot (Bohr magnetons per cell): 3.0

=====

[23]
First-principles (PBE) data for crystalline YTm2Se4 at its relaxed geometry, as listed in Alexandria.

Unit cell a=3.940 b=6.927 c=13.682 alpha=90.00 beta=90.00 gamma=106.52
Sites, in units of the cell vectors:
1 Y 0.627 0.253 0.750
2 Y 0.373 0.747 0.250
3 Tm 0.130 0.261 0.431
4 Tm 0.870 0.739 0.931
5 Tm 0.130 0.261 0.069
6 Tm 0.870 0.739 0.569
7 Se 0.776 0.552 0.121
8 Se 0.776 0.552 0.379
9 Se 0.224 0.448 0.879
10 Se 0.224 0.448 0.621
11 Se 0.968 0.935 0.750
12 Se 0.032 0.065 0.250
13 Se 0.500 0.000 0.000
14 Se 0.500 0.000 0.500

Calculated values
Offset from the most stable computed form (eV/atom): 0.050
M_tot (Bohr magnetons per cell): 0.0

=====

Number 1: formation energy without anion corrections 0.17 eV per atom. Number 2: formation energy without anion corrections -1.11 eV per atom. Number 3: formation energy without anion corrections -1.34 eV per atom. Number 4: formation energy without anion corrections -1.01 eV per atom. Number 5: formation energy without anion corrections -1.51 eV per atom. Number 6: formation energy without anion corrections -1.81 eV per atom. Number 7: formation energy without anion corrections -1.18 eV per atom. Number 8: formation energy without anion corrections -0.83 eV per atom. Number 9: formation energy without anion corrections -1.72 eV per atom. Number 10: formation energy without anion corrections -1.19 eV per atom. Number 11: formation energy without anion corrections -1.08 eV per atom. Number 12: formation energy without anion corrections -1.75 eV per atom. Number 13: formation energy without anion corrections -1.80 eV per atom. Number 14: formation energy without anion corrections -1.49 eV per atom. Number 15: formation energy without anion corrections -1.13 eV per atom. Number 16: formation energy without anion corrections -1.30 eV per atom. Number 17: formation energy without anion corrections -1.41 eV per atom. Number 18: formation energy without anion corrections -1.33 eV per atom. Number 19: formation energy without anion corrections -1.29 eV per atom. Number 20: formation energy without anion corrections -0.15 eV per atom. Number 21: formation energy without anion corrections -1.67 eV per atom. Number 22: formation energy without anion corrections -0.03 eV per atom. Number 23: formation energy without anion corrections -1.82 eV per atom.